{"formula": "Li4Cu3SbP4O16", "functional": "SCAN", "state": "PBEsol geometry", "cell": [[4.750, 0.000, 0.000], [0.000, 6.304, 0.000], [-0.538, 0.000, 10.057]], "species": ["Li", "Li", "Li", "Li", "Cu", "Cu", "Cu", "Sb", "P", "P", "P", "P", "O", "O", "O", "O", "O", "O", "O", "O", "O", "O", "O", "O", "O", "O", "O", "O"], "fractional_positions": [[0.000, 0.243, 0.000], [0.000, 0.757, 0.000], [0.549, 0.254, 0.435], [0.549, 0.746, 0.435], [0.069, 0.500, 0.249], [0.449, 0.500, 0.755], [0.571, 0.000, 0.178], [0.986, 0.000, 0.679], [0.109, 0.000, 0.363], [0.438, 0.000, 0.885], [0.575, 0.500, 0.067], [0.939, 0.500, 0.550], [0.232, 0.200, 0.299], [0.232, 0.800, 0.299], [0.239, 0.000, 0.512], [0.248, 0.500, 0.071], [0.261, 0.500, 0.571], [0.300, 0.000, 0.021], [0.314, 0.192, 0.800], [0.314, 0.808, 0.800], [0.676, 0.500, 0.922], [0.710, 0.301, 0.136], [0.710, 0.699, 0.136], [0.759, 0.000, 0.903], [0.783, 0.000, 0.363], [0.796, 0.304, 0.611], [0.796, 0.696, 0.611], [0.830, 0.500, 0.401]], "formation_energy_uncorrected_mev_per_atom": -2056, "magnetic_moment_mub_per_fu": 2.00, "crystal_system": "monoclinic"}

=====

{"formula": "Li4TiCu3P4O16", "functional": "SCAN", "state": "PBEsol geometry", "cell": [[4.728, 0.000, 0.000], [0.000, 5.965, 0.000], [-0.043, 0.000, 10.146]], "species": ["Li", "Li", "Li", "Li", "Ti", "Cu", "Cu", "Cu", "P", "P", "P", "P", "O", "O", "O", "O", "O", "O", "O", "O", "O", "O", "O", "O", "O", "O", "O", "O"], "fractional_positions": [[0.000, 0.237, 0.000], [0.000, 0.763, 0.000], [0.514, 0.239, 0.539], [0.514, 0.761, 0.539], [0.498, 0.500, 0.241], [0.034, 0.500, 0.737], [0.504, 0.000, 0.801], [0.970, 0.000, 0.305], [0.084, 0.000, 0.613], [0.437, 0.000, 0.120], [0.570, 0.500, 0.925], [0.919, 0.500, 0.420], [0.212, 0.000, 0.471], [0.218, 0.206, 0.686], [0.218, 0.794, 0.686], [0.241, 0.500, 0.407], [0.246, 0.500, 0.931], [0.286, 0.000, 0.986], [0.322, 0.214, 0.195], [0.322, 0.786, 0.195], [0.690, 0.500, 0.074], [0.704, 0.290, 0.862], [0.704, 0.710, 0.862], [0.760, 0.000, 0.116], [0.761, 0.000, 0.609], [0.772, 0.302, 0.342], [0.772, 0.698, 0.342], [0.804, 0.500, 0.560]], "formation_energy_uncorrected_mev_per_atom": -2247, "magnetic_moment_mub_per_fu": 1.00, "crystal_system": "monoclinic"}

=====

{"formula": "Li4V3CuP4O16", "functional": "SCAN", "state": "PBEsol geometry", "cell": [[4.682, 0.000, 0.000], [0.000, 5.962, 0.000], [-0.034, 0.000, 10.170]], "species": ["Li", "Li", "Li", "Li", "V", "V", "V", "Cu", "P", "P", "P", "P", "O", "O", "O", "O", "O", "O", "O", "O", "O", "O", "O", "O", "O", "O", "O", "O"], "fractional_positions": [[0.000, 0.243, 0.000], [0.000, 0.757, 0.000], [0.500, 0.244, 0.480], [0.500, 0.756, 0.480], [0.019, 0.500, 0.718], [0.488, 0.500, 0.212], [0.516, 0.000, 0.766], [0.956, 0.000, 0.273], [0.083, 0.000, 0.587], [0.428, 0.000, 0.080], [0.583, 0.500, 0.897], [0.917, 0.500, 0.395], [0.209, 0.000, 0.448], [0.220, 0.206, 0.662], [0.220, 0.794, 0.662], [0.245, 0.500, 0.389], [0.257, 0.500, 0.894], [0.291, 0.000, 0.939], [0.301, 0.212, 0.149], [0.301, 0.788, 0.149], [0.712, 0.500, 0.037], [0.721, 0.295, 0.823], [0.721, 0.705, 0.823], [0.754, 0.000, 0.075], [0.756, 0.000, 0.590], [0.770, 0.298, 0.323], [0.770, 0.702, 0.323], [0.805, 0.500, 0.538]], "formation_energy_uncorrected_mev_per_atom": -2444, "magnetic_moment_mub_per_fu": 8.00, "crystal_system": "monoclinic"}

=====

{"formula": "LiCuRu2Rh2O8", "functional": "SCAN", "state": "PBEsol geometry", "cell": [[-2.765, 3.048, 4.418], [2.765, -3.048, 4.418], [2.765, 3.048, -4.418]], "species": ["Li", "Cu", "Ru", "Ru", "Rh", "Rh", "O", "O", "O", "O", "O", "O", "O", "O"], "fractional_positions": [[0.000, 0.000, 0.000], [0.752, 0.252, 0.500], [0.371, 0.094, 0.723], [0.371, 0.647, 0.277], [0.373, 0.620, 0.753], [0.868, 0.620, 0.247], [0.096, 0.850, 0.247], [0.142, 0.408, 0.266], [0.142, 0.876, 0.734], [0.167, 0.389, 0.778], [0.598, 0.356, 0.758], [0.598, 0.839, 0.242], [0.603, 0.850, 0.753], [0.611, 0.389, 0.222]], "formation_energy_uncorrected_mev_per_atom": -1139, "magnetic_moment_mub_per_fu": 0.00, "crystal_system": "orthorhombic"}

=====

{"formula": "Li2Cu2S3O12", "functional": "SCAN", "state": "PBEsol geometry", "cell": [[6.636, -4.164, 0.000], [6.636, 4.164, 0.000], [-4.704, 0.000, 7.882]], "species": ["Li", "Li", "Li", "Li", "Cu", "Cu", "Cu", "Cu", "S", "S", "S", "S", "S", "S", "O", "O", "O", "O", "O", "O", "O", "O", "O", "O", "O", "O", "O", "O", "O", "O", "O", "O", "O", "O", "O", "O", "O", "O"], "fractional_positions": [[0.138, 0.323, 0.044], [0.323, 0.138, 0.544], [0.677, 0.862, 0.456], [0.862, 0.677, 0.956], [0.135, 0.635, 0.467], [0.365, 0.865, 0.033], [0.635, 0.135, 0.967], [0.865, 0.365, 0.533], [0.044, 0.956, 0.250], [0.244, 0.460, 0.829], [0.460, 0.244, 0.329], [0.540, 0.756, 0.671], [0.756, 0.540, 0.171], [0.956, 0.044, 0.750], [0.031, 0.146, 0.396], [0.070, 0.790, 0.298], [0.109, 0.452, 0.651], [0.139, 0.507, 0.947], [0.146, 0.031, 0.896], [0.210, 0.930, 0.202], [0.254, 0.389, 0.308], [0.349, 0.604, 0.881], [0.389, 0.254, 0.808], [0.396, 0.651, 0.619], [0.452, 0.109, 0.151], [0.493, 0.861, 0.553], [0.507, 0.139, 0.447], [0.548, 0.891, 0.849], [0.604, 0.349, 0.381], [0.611, 0.746, 0.192], [0.651, 0.396, 0.119], [0.746, 0.611, 0.692], [0.790, 0.070, 0.798], [0.854, 0.969, 0.104], [0.861, 0.493, 0.053], [0.891, 0.548, 0.349], [0.930, 0.210, 0.702], [0.969, 0.854, 0.604]], "formation_energy_uncorrected_mev_per_atom": -1598, "magnetic_moment_mub_per_fu": 2.00, "crystal_system": "monoclinic"}

=====

{"formula": "Li5Cu5Sb2O12", "functional": "SCAN", "state": "PBEsol geometry", "cell": [[2.805, -4.298, 0.000], [2.805, 4.298, 0.000], [-0.467, 0.000, 9.736]], "species": ["Li", "Li", "Li", "Li", "Li", "Cu", "Cu", "Cu", "Cu", "Cu", "Sb", "Sb", "O", "O", "O", "O", "O", "O", "O", "O", "O", "O", "O", "O"], "fractional_positions": [[0.000, 0.000, 0.000], [0.257, 0.229, 0.755], [0.416, 0.061, 0.244], [0.771, 0.743, 0.245], [0.939, 0.584, 0.756], [0.091, 0.399, 0.248], [0.179, 0.821, 0.500], [0.506, 0.494, 0.500], [0.601, 0.909, 0.752], [0.681, 0.319, 0.000], [0.340, 0.660, 0.000], [0.841, 0.159, 0.500], [0.017, 0.338, 0.899], [0.082, 0.703, 0.137], [0.103, 0.098, 0.368], [0.167, 0.481, 0.600], [0.297, 0.918, 0.863], [0.395, 0.373, 0.121], [0.519, 0.833, 0.400], [0.573, 0.219, 0.627], [0.627, 0.605, 0.879], [0.662, 0.983, 0.101], [0.781, 0.427, 0.373], [0.902, 0.897, 0.632]], "formation_energy_uncorrected_mev_per_atom": -1458, "magnetic_moment_mub_per_fu": 1.04, "crystal_system": "monoclinic"}

=====

{"formula": "Li5Cu3Sb2O10", "functional": "SCAN", "state": "PBEsol geometry", "cell": [[5.200, 0.000, 0.000], [-1.419, 5.317, 0.000], [-1.927, -2.264, 7.172]], "species": ["Li", "Li", "Li", "Li", "Li", "Cu", "Cu", "Cu", "Sb", "Sb", "O", "O", "O", "O", "O", "O", "O", "O", "O", "O"], "fractional_positions": [[0.000, 0.000, 0.000], [0.085, 0.197, 0.692], [0.280, 0.612, 0.124], [0.720, 0.388, 0.876], [0.915, 0.803, 0.308], [0.213, 0.385, 0.402], [0.500, 0.000, 0.500], [0.787, 0.615, 0.598], [0.387, 0.805, 0.799], [0.613, 0.195, 0.201], [0.042, 0.621, 0.842], [0.152, 0.841, 0.568], [0.286, 0.975, 0.253], [0.363, 0.162, 0.947], [0.433, 0.471, 0.674], [0.567, 0.529, 0.326], [0.637, 0.838, 0.053], [0.714, 0.025, 0.747], [0.848, 0.159, 0.432], [0.958, 0.379, 0.158]], "formation_energy_uncorrected_mev_per_atom": -1602, "magnetic_moment_mub_per_fu": 0.10, "crystal_system": "triclinic"}

=====

{"formula": "Li3Cu2SbO6", "functional": "SCAN", "state": "PBEsol geometry", "cell": [[2.753, -4.296, 0.000], [2.753, 4.296, 0.000], [-0.543, 0.000, 9.759]], "species": ["Li", "Li", "Li", "Li", "Li", "Li", "Cu", "Cu", "Cu", "Cu", "Sb", "Sb", "O", "O", "O", "O", "O", "O", "O", "O", "O", "O", "O", "O"], "fractional_positions": [[0.096, 0.904, 0.750], [0.152, 0.318, 0.999], [0.318, 0.152, 0.499], [0.682, 0.848, 0.501], [0.848, 0.682, 0.001], [0.904, 0.096, 0.250], [0.000, 0.500, 0.500], [0.417, 0.583, 0.750], [0.500, 0.000, 0.000], [0.583, 0.417, 0.250], [0.244, 0.756, 0.250], [0.756, 0.244, 0.750], [0.017, 0.206, 0.612], [0.086, 0.568, 0.852], [0.206, 0.017, 0.112], [0.297, 0.465, 0.369], [0.432, 0.914, 0.648], [0.465, 0.297, 0.869], [0.535, 0.703, 0.131], [0.568, 0.086, 0.352], [0.703, 0.535, 0.631], [0.794, 0.983, 0.888], [0.914, 0.432, 0.148], [0.983, 0.794, 0.388]], "formation_energy_uncorrected_mev_per_atom": -1602, "magnetic_moment_mub_per_fu": 0.02, "crystal_system": "monoclinic"}

=====

{"formula": "Li4V3Cu3Sb2O16", "functional": "SCAN", "state": "PBEsol geometry", "cell": [[5.716, 0.000, 0.000], [2.855, 5.253, 0.000], [0.001, 0.430, 9.569]], "species": ["Li", "Li", "Li", "Li", "V", "V", "V", "Cu", "Cu", "Cu", "Sb", "Sb", "O", "O", "O", "O", "O", "O", "O", "O", "O", "O", "O", "O", "O", "O", "O", "O"], "fractional_positions": [[0.000, 0.000, 0.000], [0.013, 0.971, 0.511], [0.365, 0.268, 0.599], [0.675, 0.650, 0.087], [0.186, 0.154, 0.279], [0.658, 0.155, 0.279], [0.839, 0.322, 0.771], [0.177, 0.644, 0.276], [0.356, 0.799, 0.784], [0.846, 0.798, 0.784], [0.331, 0.339, 0.002], [0.679, 0.640, 0.502], [0.000, 0.999, 0.705], [0.047, 0.446, 0.156], [0.155, 0.186, 0.893], [0.160, 0.681, 0.912], [0.336, 0.822, 0.394], [0.365, 0.268, 0.396], [0.488, 0.023, 0.146], [0.506, 0.446, 0.156], [0.546, 0.908, 0.647], [0.557, 0.449, 0.636], [0.659, 0.186, 0.893], [0.698, 0.604, 0.881], [0.840, 0.822, 0.394], [0.845, 0.308, 0.388], [0.992, 0.015, 0.192], [0.992, 0.450, 0.636]], "formation_energy_uncorrected_mev_per_atom": -1896, "magnetic_moment_mub_per_fu": 3.33, "crystal_system": "triclinic"}

=====

{"formula": "Li2Cu2Si8O19", "functional": "SCAN", "state": "PBEsol geometry", "cell": [[6.812, -2.478, 0.000], [6.812, 2.478, 0.000], [-3.943, 0.000, 11.713]], "species": ["Li", "Li", "Cu", "Cu", "Si", "Si", "Si", "Si", "Si", "Si", "Si", "Si", "O", "O", "O", "O", "O", "O", "O", "O", "O", "O", "O", "O", "O", "O", "O", "O", "O", "O", "O"], "fractional_positions": [[0.112, 0.112, 0.139], [0.888, 0.888, 0.861], [0.561, 0.042, 0.095], [0.958, 0.439, 0.905], [0.067, 0.367, 0.669], [0.135, 0.852, 0.332], [0.148, 0.865, 0.668], [0.211, 0.645, 0.077], [0.355, 0.789, 0.923], [0.506, 0.249, 0.569], [0.633, 0.933, 0.331], [0.751, 0.494, 0.431], [0.021, 0.148, 0.399], [0.156, 0.841, 0.202], [0.159, 0.844, 0.798], [0.162, 0.076, 0.668], [0.171, 0.829, 0.000], [0.299, 0.064, 0.966], [0.349, 0.252, 0.640], [0.413, 0.545, 0.608], [0.443, 0.198, 0.432], [0.445, 0.020, 0.207], [0.455, 0.587, 0.392], [0.525, 0.315, 0.074], [0.685, 0.475, 0.926], [0.748, 0.651, 0.360], [0.802, 0.557, 0.568], [0.852, 0.979, 0.601], [0.924, 0.838, 0.332], [0.936, 0.701, 0.034], [0.980, 0.555, 0.793]], "formation_energy_uncorrected_mev_per_atom": -2611, "magnetic_moment_mub_per_fu": 2.00, "crystal_system": "monoclinic"}

=====

{"formula": "Li4CuSi2O7", "functional": "SCAN", "state": "PBEsol geometry", "cell": [[4.733, -2.227, 0.000], [4.733, 2.227, 0.000], [-1.185, 0.000, 6.601]], "species": ["Li", "Li", "Li", "Li", "Cu", "Si", "Si", "O", "O", "O", "O", "O", "O", "O"], "fractional_positions": [[0.146, 0.146, 0.435], [0.286, 0.292, 0.856], [0.708, 0.714, 0.144], [0.854, 0.854, 0.565], [0.990, 0.010, 0.000], [0.402, 0.446, 0.289], [0.554, 0.598, 0.711], [0.074, 0.513, 0.345], [0.217, 0.682, 0.775], [0.318, 0.783, 0.225], [0.487, 0.926, 0.655], [0.593, 0.146, 0.111], [0.673, 0.327, 0.500], [0.854, 0.407, 0.889]], "formation_energy_uncorrected_mev_per_atom": -2457, "magnetic_moment_mub_per_fu": 1.05, "crystal_system": "monoclinic", "e_above_lowest_polymorph_mev_per_atom": 0.0}

=====

{"formula": "Li2CuSi2O6", "functional": "SCAN", "state": "PBEsol geometry", "cell": [[0.000, 9.554, 3.430], [3.702, 0.000, 3.430], [3.702, 9.554, 0.000]], "species": ["Li", "Li", "Li", "Li", "Cu", "Cu", "Si", "Si", "Si", "Si", "O", "O", "O", "O", "O", "O", "O", "O", "O", "O", "O", "O"], "fractional_positions": [[0.307, 0.693, 0.358], [0.608, 0.892, 0.557], [0.693, 0.307, 0.642], [0.892, 0.608, 0.943], [0.469, 0.469, 0.531], [0.719, 0.719, 0.781], [0.085, 0.569, 0.078], [0.172, 0.982, 0.165], [0.569, 0.085, 0.268], [0.982, 0.172, 0.681], [0.145, 0.609, 0.866], [0.238, 0.830, 0.986], [0.264, 0.304, 0.012], [0.304, 0.264, 0.420], [0.384, 0.869, 0.105], [0.548, 0.764, 0.287], [0.609, 0.145, 0.381], [0.764, 0.548, 0.401], [0.830, 0.238, 0.946], [0.849, 0.963, 0.486], [0.869, 0.384, 0.641], [0.963, 0.849, 0.702]], "formation_energy_uncorrected_mev_per_atom": -2444, "magnetic_moment_mub_per_fu": 1.00, "crystal_system": "orthorhombic"}

=====

{"formula": "Li4CuSi2O7", "functional": "SCAN", "state": "PBEsol geometry", "cell": [[6.513, -2.694, 0.000], [6.513, 2.694, 0.000], [-0.604, 0.000, 7.959]], "species": ["Li", "Li", "Li", "Li", "Li", "Li", "Li", "Li", "Cu", "Cu", "Si", "Si", "Si", "Si", "O", "O", "O", "O", "O", "O", "O", "O", "O", "O", "O", "O", "O", "O"], "fractional_positions": [[0.097, 0.459, 0.423], [0.147, 0.853, 0.500], [0.401, 0.740, 0.853], [0.459, 0.097, 0.923], [0.543, 0.865, 0.568], [0.740, 0.401, 0.353], [0.853, 0.147, 0.000], [0.865, 0.543, 0.068], [0.264, 0.587, 0.153], [0.587, 0.264, 0.653], [0.028, 0.681, 0.777], [0.310, 0.971, 0.206], [0.681, 0.028, 0.277], [0.971, 0.310, 0.706], [0.063, 0.435, 0.844], [0.137, 0.751, 0.931], [0.206, 0.574, 0.609], [0.234, 0.995, 0.674], [0.363, 0.738, 0.306], [0.435, 0.063, 0.344], [0.488, 0.851, 0.041], [0.574, 0.206, 0.109], [0.708, 0.944, 0.738], [0.738, 0.363, 0.806], [0.751, 0.137, 0.431], [0.851, 0.488, 0.541], [0.944, 0.708, 0.238], [0.995, 0.234, 0.174]], "formation_energy_uncorrected_mev_per_atom": -2445, "magnetic_moment_mub_per_fu": 1.00, "crystal_system": "monoclinic", "e_above_lowest_polymorph_mev_per_atom": 11.3}